No. 1
The following is a GGA-PBE calculation of a relaxed BaPmGd crystal, from Alexandria via LeMat-Bulk.

Values from the calculation:
For the size of the total moment, the calculation gives 7.7 μB per formula unit. The calculation puts the excess energy over the best structure of this formula in the dataset at 0.00 eV per formula unit. The total energy is -6.781 eV/atom. The calculation puts the formation energy at 0.14 eV per atom.

Cell: 3.796 3.796 8.807 Å, 102.45 102.45 90.00°
Sites, in units of the cell vectors:
Ba: 0.999 0.999 0.999
Pm: 0.318 0.318 0.637
Gd: 0.682 0.682 0.364

No. 2
The following is a GGA-PBE calculation of a relaxed BaPrGd crystal, from Alexandria via LeMat-Bulk.

Values from the calculation:
For the size of the total moment, the calculation gives 7.6 μB per formula unit. The calculation puts the excess energy over the best structure of this formula in the dataset at 0.06 eV per formula unit. The total energy is -6.785 eV/atom. The calculation puts the formation energy at 0.14 eV per atom.

Cell: 3.837 3.837 9.535 Å, 90.00 90.00 120.00°
Sites, in units of the cell vectors:
Gd: 0.667 0.333 0.353
Ba: 0.000 0.000 0.003
Pr: 0.333 0.667 0.645

No. 3
The following is a GGA-PBE calculation of a relaxed BaPrGd crystal, from Alexandria via LeMat-Bulk.

Values from the calculation:
For the size of the total moment, the calculation gives 7.7 μB per formula unit. The calculation puts the excess energy over the best structure of this formula in the dataset at 0.00 eV per formula unit. The total energy is -6.806 eV/atom. The calculation puts the formation energy at 0.12 eV per atom.

Cell: 3.815 3.815 8.873 Å, 102.42 102.42 90.00°
Sites, in units of the cell vectors:
Ba: 0.000 0.000 0.000
Gd: 0.319 0.319 0.637
Pr: 0.682 0.682 0.363

No. 4
The following is a GGA-PBE calculation of a relaxed BaGdPt2 crystal, from Alexandria via LeMat-Bulk.

Values from the calculation:
For the size of the total moment, the calculation gives 7.1 μB per formula unit. The calculation puts the excess energy over the best structure of this formula in the dataset at 0.26 eV per formula unit. The total energy is -7.900 eV/atom. The calculation puts the formation energy at -0.88 eV per atom.

Cell: 4.720 4.720 6.452 Å, 68.54 68.54 60.00°
Sites, in units of the cell vectors:
Pt: 0.716 0.716 0.851
Pt: 0.284 0.284 0.149
Ba: 0.500 0.500 0.500
Gd: 0.000 0.000 0.000

No. 5
The following is a GGA-PBE calculation of a relaxed Ba2GdPt crystal, from Alexandria via LeMat-Bulk.

Values from the calculation:
For the size of the total moment, the calculation gives 8.2 μB per formula unit. The total energy is -6.063 eV/atom. The calculation puts the formation energy at -0.07 eV per atom.

Cell: 4.218 4.218 11.905 Å, 79.80 79.80 60.00°
Sites, in units of the cell vectors:
Gd: 0.000 0.000 0.000
Ba: 0.888 0.888 0.337
Pt: 0.500 0.500 0.500
Ba: 0.112 0.112 0.663

No. 6
The following is a GGA-PBE calculation of a relaxed BaGdPt2 crystal, from Alexandria via LeMat-Bulk.

Values from the calculation:
For the size of the total moment, the calculation gives 7.2 μB per formula unit. The calculation puts the excess energy over the best structure of this formula in the dataset at 0.00 eV per formula unit. The total energy is -7.964 eV/atom. The calculation puts the formation energy at -0.94 eV per atom.

Cell: 3.653 3.653 7.570 Å, 90.00 90.00 90.00°
Sites, in units of the cell vectors:
Ba: 0.500 0.500 0.500
Pt: 0.000 0.000 0.799
Gd: 0.500 0.500 0.000
Pt: 0.000 0.000 0.201

No. 7
The following is a GGA-PBE calculation of a relaxed BaGdPt4 crystal, from Alexandria via LeMat-Bulk.

Values from the calculation:
For the size of the total moment, the calculation gives 7.2 μB per formula unit. The total energy is -7.544 eV/atom. The calculation puts the formation energy at -0.85 eV per atom.

Cell: 5.578 5.578 5.578 Å, 60.00 60.00 60.00°
Sites, in units of the cell vectors:
Gd: 0.000 0.000 0.000
Pt: 0.626 0.626 0.626
Pt: 0.626 0.123 0.626
Pt: 0.123 0.626 0.626
Ba: 0.250 0.250 0.250
Pt: 0.626 0.626 0.123

No. 8
The following is a GGA-PBE calculation of a relaxed RbBa2Gd crystal, from Alexandria via LeMat-Bulk.

Values from the calculation:
For the size of the total moment, the calculation gives 8.8 μB per formula unit. The total energy is -4.533 eV/atom. The calculation puts the formation energy at 0.19 eV per atom.

Cell: 4.192 4.192 13.083 Å, 90.00 90.00 90.00°
Sites, in units of the cell vectors:
Gd: 0.500 0.500 0.000
Ba: 0.000 0.000 0.795
Ba: 0.000 0.000 0.205
Rb: 0.500 0.500 0.500

No. 9
The following is a GGA-PBE calculation of a relaxed BaGd3Rh crystal, from Alexandria via LeMat-Bulk.

Values from the calculation:
For the size of the total moment, the calculation gives 22.0 μB per formula unit. The total energy is -10.559 eV/atom. The calculation puts the formation energy at -0.26 eV per atom.

Cell: 5.600 5.600 5.600 Å, 90.00 90.00 90.00°
Sites, in units of the cell vectors:
Ba: 0.500 0.500 0.500
Gd: 0.500 0.000 0.000
Rh: 0.000 0.000 0.000
Gd: 0.000 0.500 0.000
Gd: 0.000 0.000 0.500

No. 10
The following is a GGA-PBE calculation of a relaxed BaGdRh4 crystal, from Alexandria via LeMat-Bulk.

Values from the calculation:
For the size of the total moment, the calculation gives 7.0 μB per formula unit. The total energy is -7.931 eV/atom. The calculation puts the formation energy at -0.36 eV per atom.

Cell: 5.481 5.481 5.481 Å, 60.00 60.00 60.00°
Sites, in units of the cell vectors:
Gd: 0.000 0.000 0.000
Rh: 0.626 0.123 0.626
Rh: 0.123 0.626 0.626
Rh: 0.626 0.626 0.123
Rh: 0.626 0.626 0.626
Ba: 0.250 0.250 0.250

No. 11
The following is a GGA-PBE calculation of a relaxed BaGd3Ru crystal, from Alexandria via LeMat-Bulk.

Values from the calculation:
For the size of the total moment, the calculation gives 21.7 μB per formula unit. The total energy is -10.799 eV/atom. The calculation puts the formation energy at -0.11 eV per atom.

Cell: 5.565 5.565 5.565 Å, 90.00 90.00 90.00°
Sites, in units of the cell vectors:
Ba: 0.500 0.500 0.500
Gd: 0.000 0.000 0.500
Gd: 0.000 0.500 0.000
Gd: 0.500 0.000 0.000
Ru: 0.000 0.000 0.000

No. 12
The following is a GGA-PBE calculation of a relaxed BaGdS2 crystal, from Alexandria via LeMat-Bulk.

Values from the calculation:
For the size of the total moment, the calculation gives 6.8 μB per formula unit. The total energy is -8.100 eV/atom.

Cell: 4.164 4.164 7.545 Å, 73.98 73.98 60.00°
Sites, in units of the cell vectors:
S: 0.263 0.263 0.212
Ba: 0.500 0.500 0.500
Gd: 0.000 0.000 0.000
S: 0.737 0.737 0.788

No. 13
The following is a GGA-PBE calculation of a relaxed BaGdS3 crystal, from Alexandria via LeMat-Bulk.

Values from the calculation:
For the size of the total moment, the calculation gives 6.2 μB per formula unit. The total energy is -7.307 eV/atom.

Cell: 5.295 5.295 5.295 Å, 90.00 90.00 90.00°
Sites, in units of the cell vectors:
Ba: 0.500 0.500 0.500
S: 0.000 0.500 0.000
Gd: 0.000 0.000 0.000
S: 0.000 0.000 0.500
S: 0.500 0.000 0.000

No. 14
The following is a GGA-PBE calculation of a relaxed BaGdSb crystal, from Alexandria via LeMat-Bulk.

Values from the calculation:
For the size of the total moment, the calculation gives 7.4 μB per formula unit. The total energy is -7.297 eV/atom.

Cell: 4.849 5.280 5.280 Å, 120.00 90.00 90.00°
Sites, in units of the cell vectors:
Gd: 0.167 0.333 0.667
Sb: 0.166 0.000 0.000
Ba: 0.667 0.667 0.333

No. 15
The following is a GGA-PBE calculation of a relaxed BaGdSe2 crystal, from Alexandria via LeMat-Bulk.

Values from the calculation:
For the size of the total moment, the calculation gives 6.8 μB per formula unit. The total energy is -7.661 eV/atom.

Cell: 4.339 4.339 7.819 Å, 73.89 73.89 60.00°
Sites, in units of the cell vectors:
Se: 0.738 0.738 0.785
Se: 0.262 0.262 0.215
Ba: 0.500 0.500 0.500
Gd: 0.000 0.000 0.000

No. 16
The following is a GGA-PBE calculation of a relaxed Ba3Gd5Se12 crystal, from Alexandria via LeMat-Bulk.

Values from the calculation:
For the size of the total moment, the calculation gives 8.5 μB per formula unit. The total energy is -7.471 eV/atom.

Cell: 15.386 15.386 15.386 Å, 109.47 109.47 109.47°
Sites, in units of the cell vectors:
Ba: 0.375 0.750 0.625
Se: 0.092 0.915 0.381
Se: 0.119 0.408 0.085
Se: 0.289 0.881 0.966
Gd: 0.500 0.500 0.000
Se: 0.824 0.915 0.034
Ba: 0.625 0.250 0.375
Gd: 0.625 0.750 0.875
Se: 0.466 0.789 0.881
Ba: 0.125 0.875 0.750
Ba: 0.750 0.375 0.125
Se: 0.592 0.881 0.415
Se: 0.466 0.676 0.085
Se: 0.789 0.466 0.381
Se: 0.085 0.176 0.466
Se: 0.534 0.324 0.915
Gd: 0.250 0.875 0.125
Ba: 0.250 0.125 0.375
Se: 0.915 0.824 0.534
Se: 0.592 0.711 0.676
Se: 0.676 0.466 0.585
Se: 0.324 0.789 0.408
Gd: 0.750 0.125 0.875
Se: 0.824 0.908 0.289
Ba: 0.375 0.625 0.250
Se: 0.085 0.908 0.119
Gd: 0.500 0.000 0.500
Gd: 0.250 0.375 0.625
Ba: 0.250 0.625 0.875
Se: 0.619 0.034 0.211
Se: 0.676 0.211 0.592
Se: 0.176 0.085 0.966
Ba: 0.875 0.750 0.125
Se: 0.711 0.592 0.176
Se: 0.966 0.381 0.289
Gd: 0.875 0.250 0.625
Gd: 0.500 0.500 0.500
Se: 0.619 0.585 0.908
Se: 0.966 0.585 0.176
Gd: 0.500 0.000 0.000
Ba: 0.875 0.125 0.250
Se: 0.789 0.324 0.908
Se: 0.908 0.085 0.619
Se: 0.415 0.381 0.592
Se: 0.534 0.211 0.119
Gd: 0.000 0.500 0.000
Se: 0.408 0.289 0.324
Gd: 0.875 0.625 0.750
Se: 0.881 0.592 0.915
Gd: 0.625 0.875 0.250
Se: 0.211 0.676 0.092
Se: 0.381 0.966 0.789
Ba: 0.750 0.875 0.625
Gd: 0.125 0.375 0.250
Ba: 0.625 0.375 0.750
Se: 0.034 0.415 0.824
Se: 0.711 0.119 0.034
Gd: 0.000 0.000 0.500
Gd: 0.375 0.125 0.750
Se: 0.119 0.711 0.534
Gd: 0.375 0.250 0.125
Se: 0.289 0.408 0.824
Se: 0.908 0.824 0.789
Se: 0.381 0.415 0.092
Se: 0.408 0.119 0.585
Se: 0.585 0.619 0.408
Gd: 0.125 0.750 0.375
Gd: 0.750 0.625 0.375
Ba: 0.125 0.250 0.875
Se: 0.324 0.534 0.415
Se: 0.034 0.619 0.711
Gd: 0.000 0.500 0.500
Gd: 0.000 0.000 0.000
Se: 0.211 0.534 0.619
Se: 0.915 0.092 0.881
Se: 0.415 0.034 0.324
Se: 0.176 0.092 0.711
Se: 0.585 0.966 0.676
Se: 0.881 0.289 0.466
Se: 0.092 0.176 0.211

No. 17
The following is a GGA-PBE calculation of a relaxed Ba2GdSe4 crystal, from Alexandria via LeMat-Bulk.

Values from the calculation:
For the size of the total moment, the calculation gives 6.1 μB per formula unit. The total energy is -6.245 eV/atom.

Cell: 5.506 5.506 9.085 Å, 72.36 72.36 90.00°
Sites, in units of the cell vectors:
Gd: 0.000 0.000 0.000
Se: 0.827 0.827 0.347
Se: 0.000 0.500 0.000
Se: 0.173 0.173 0.653
Se: 0.500 0.000 0.000
Ba: 0.633 0.633 0.733
Ba: 0.367 0.367 0.267

No. 18
The following is a GGA-PBE calculation of a relaxed BaSmGd crystal, from Alexandria via LeMat-Bulk.

Values from the calculation:
For the size of the total moment, the calculation gives 7.6 μB per formula unit. The calculation puts the excess energy over the best structure of this formula in the dataset at 0.05 eV per formula unit. The total energy is -6.747 eV/atom. The calculation puts the formation energy at 0.16 eV per atom.

Cell: 3.808 3.808 9.444 Å, 90.00 90.00 120.00°
Sites, in units of the cell vectors:
Gd: 0.667 0.333 0.355
Sm: 0.333 0.667 0.645
Ba: 0.000 0.000 0.000

No. 19
The following is a GGA-PBE calculation of a relaxed BaSmGd2 crystal, from Alexandria via LeMat-Bulk.

Values from the calculation:
For the size of the total moment, the calculation gives 15.1 μB per formula unit. The calculation puts the excess energy over the best structure of this formula in the dataset at 0.00 eV per formula unit. The total energy is -8.571 eV/atom. The calculation puts the formation energy at 0.13 eV per atom.

Cell: 3.727 3.727 10.914 Å, 90.00 90.00 90.00°
Sites, in units of the cell vectors:
Gd: 0.000 0.000 0.217
Gd: 0.000 0.000 0.783
Ba: 0.500 0.500 0.500
Sm: 0.500 0.500 0.000

No. 20
The following is a GGA-PBE calculation of a relaxed BaSmGd2 crystal, from Alexandria via LeMat-Bulk.

Values from the calculation:
For the size of the total moment, the calculation gives 15.0 μB per formula unit. The calculation puts the excess energy over the best structure of this formula in the dataset at 0.28 eV per formula unit. The total energy is -8.500 eV/atom. The calculation puts the formation energy at 0.20 eV per atom.

Cell: 3.654 3.654 13.100 Å, 81.98 81.98 60.00°
Sites, in units of the cell vectors:
Gd: 0.093 0.093 0.721
Sm: 0.500 0.500 0.500
Ba: 0.000 0.000 0.000
Gd: 0.907 0.907 0.279